A geometry-optimized Pm2Mg3Zn3 structure, computed with PBE.

Summary:
E_tot: -2.544 eV per atom
E_form: -2.2 eV/f.u.
total magnetic moment: 0.00 μB per cell

Cell: 4.9753 4.9753 24.4502 Å, 90.00 90.00 120.00°
Space group R3m (No. 160, hexagonal axes)
Asymmetric unit:
Pm 0.0000 0.0000 0.0000 (multiplicity 3)
Pm 0.0000 0.0000 0.4888 (multiplicity 3)
Mg 0.0000 0.0000 0.2409 (multiplicity 3)
Mg 0.0000 0.0000 0.6174 (multiplicity 3)
Mg 0.0000 0.0000 0.7462 (multiplicity 3)
Zn 0.0000 0.0000 0.1209 (multiplicity 3)
Zn 0.0000 0.0000 0.3643 (multiplicity 3)
Zn 0.0000 0.0000 0.8736 (multiplicity 3)

A geometry-optimized Pm2Mg3Zn4 structure, computed with PBE.

Summary:
E_tot: -2.417 eV per atom
E_form: -2.4 eV/f.u.
total magnetic moment: 0.00 μB per cell
energy relative to the lowest polymorph listed for this composition: 0.0 meV per atom

Cell: 8.4144 4.8564 9.4085 Å, 90.00 90.04 90.00°
Space group C2/m (No. 12)
Asymmetric unit:
Pm 0.1670 0.0000 0.2075 (multiplicity 4)
Mg 0.0000 0.5000 0.0000 (multiplicity 2)
Mg 0.1665 0.0000 0.5750 (multiplicity 4)
Zn 0.0004 0.5000 0.3592 (multiplicity 4)
Zn 0.1664 0.0000 0.8963 (multiplicity 4)

A geometry-optimized Pm3Mg7Zn2 structure, computed with PBE.

Summary:
E_tot: -2.452 eV per atom
E_form: -1.5 eV/f.u.
total magnetic moment: 0.00 μB per cell

Cell: 6.0049 6.0049 28.3416 Å, 90.00 90.00 120.00°
Space group R-3m (No. 166, hexagonal axes)
Asymmetric unit:
Pm 0.0000 0.0000 0.0000 (multiplicity 3)
Pm 0.0000 0.0000 0.1427 (multiplicity 6)
Mg 0.0000 0.0000 0.5000 (multiplicity 3)
Mg 0.0028 0.5014 0.9220 (multiplicity 18)
Zn 0.0000 0.0000 0.3341 (multiplicity 6)

A geometry-optimized PmMg2Zn structure, computed with PBE.

Summary:
E_tot: -2.421 eV per atom
E_form: -0.5 eV/f.u.
total magnetic moment: 0.00 μB per cell
energy relative to the lowest polymorph listed for this composition: 83.8 meV per atom

Cell: 4.4285 4.4285 4.9160 Å, 90.00 90.00 90.00°
Space group P4/mmm (No. 123)
Asymmetric unit:
Pm 0.0000 0.0000 0.0000 (multiplicity 1)
Mg 0.0000 0.5000 0.5000 (multiplicity 2)
Zn 0.5000 0.5000 0.0000 (multiplicity 1)

A geometry-optimized Pm3Mg2Zn7 structure, computed with PBE.

Summary:
E_tot: -2.344 eV per atom
E_form: -1.8 eV/f.u.
total magnetic moment: 0.00 μB per cell

Cell: 4.6171 4.1396 14.0938 Å, 90.00 99.00 90.00°
Space group P2/m (No. 10)
Asymmetric unit:
Pm 0.0000 0.0000 0.0000 (multiplicity 1)
Pm 0.3033 0.5000 0.6279 (multiplicity 2)
Mg 0.1347 0.0000 0.2649 (multiplicity 2)
Zn 0.2232 0.5000 0.1511 (multiplicity 2)
Zn 0.2300 0.0000 0.4562 (multiplicity 2)
Zn 0.4092 0.0000 0.8450 (multiplicity 2)
Zn 0.5000 0.5000 0.0000 (multiplicity 1)

A geometry-optimized PmMg2Zn structure, computed with PBE.

Summary:
E_tot: -2.389 eV per atom
E_form: -0.3 eV/f.u.
total magnetic moment: 0.00 μB per cell
energy relative to the lowest polymorph listed for this composition: 115.7 meV per atom

Cell: 7.1049 7.1049 7.1049 Å, 90.00 90.00 90.00°
Space group Fm-3m (No. 225)
Asymmetric unit:
Pm 0.0000 0.0000 0.0000 (multiplicity 4)
Mg 0.2500 0.2500 0.2500 (multiplicity 8)
Zn 0.0000 0.0000 0.5000 (multiplicity 4)

A geometry-optimized PmMg2Zn structure, computed with PBE.

Summary:
E_tot: -2.505 eV per atom
E_form: -0.8 eV/f.u.
total magnetic moment: 0.00 μB per cell
energy relative to the lowest polymorph listed for this composition: 0.0 meV per atom

Cell: 5.0618 5.0618 7.1109 Å, 90.00 90.00 90.00°
Space group I-4m2 (No. 119)
Asymmetric unit:
Pm 0.0000 0.0000 0.0000 (multiplicity 2)
Mg 0.0000 0.0000 0.5000 (multiplicity 2)
Mg 0.0000 0.5000 0.2500 (multiplicity 2)
Zn 0.0000 0.5000 0.7500 (multiplicity 2)

A geometry-optimized Pm2Mg2Zn15 structure, computed with PBE.

Summary:
E_tot: -1.923 eV per atom
E_form: -4.7 eV/f.u.
total magnetic moment: 0.00 μB per cell

Cell: 9.1213 9.1213 13.4278 Å, 90.00 90.00 120.00°
Space group R-3m (No. 166, hexagonal axes)
Asymmetric unit:
Pm 0.0000 0.0000 0.1585 (multiplicity 6)
Mg 0.0000 0.0000 0.3965 (multiplicity 6)
Zn 0.0000 0.2941 0.5000 (multiplicity 18)
Zn 0.0000 0.5000 0.0000 (multiplicity 9)
Zn 0.0101 0.5051 0.6513 (multiplicity 18)

A geometry-optimized Pm3MgZn2 structure, computed with PBE.

Summary:
E_tot: -3.314 eV per atom
E_form: -1.5 eV/f.u.
total magnetic moment: 0.00 μB per cell

Cell: 3.6858 3.6858 11.4683 Å, 90.00 90.00 90.00°
Space group P4/mmm (No. 123)
Asymmetric unit:
Pm 0.0000 0.0000 0.0000 (multiplicity 1)
Pm 0.0000 0.0000 0.3108 (multiplicity 2)
Mg 0.5000 0.5000 0.5000 (multiplicity 1)
Zn 0.5000 0.5000 0.1604 (multiplicity 2)

A geometry-optimized PmMgZn3 structure, computed with PBE.

Summary:
E_tot: -2.280 eV per atom
E_form: -1.2 eV/f.u.
total magnetic moment: 0.00 μB per cell

Cell: 3.5667 25.8027 4.4819 Å, 90.00 90.00 90.00°
Space group Cmcm (No. 63)
Asymmetric unit:
Pm 0.0000 0.0763 0.2500 (multiplicity 4)
Mg 0.0000 0.2129 0.7500 (multiplicity 4)
Zn 0.0000 0.3220 0.7500 (multiplicity 4)
Zn 0.0000 0.3732 0.2500 (multiplicity 4)
Zn 0.0000 0.4751 0.2500 (multiplicity 4)

A geometry-optimized Pm3Mg3Zn2 structure, computed with PBE.

Summary:
E_tot: -2.846 eV per atom
E_form: -1.2 eV/f.u.
total magnetic moment: 0.82 μB per cell
energy relative to the lowest polymorph listed for this composition: 7.1 meV per atom

Cell: 7.9685 7.9685 3.8311 Å, 90.00 90.00 120.00°
Space group P-62m (No. 189)
Asymmetric unit:
Pm 0.0000 0.5882 0.0000 (multiplicity 3)
Mg 0.0000 0.2315 0.5000 (multiplicity 3)
Zn 0.3333 0.6667 0.5000 (multiplicity 2)

A geometry-optimized PmMg2Zn10 structure, computed with PBE.

Summary:
E_tot: -1.745 eV per atom
E_form: -2.0 eV/f.u.
total magnetic moment: 0.00 μB per cell

Cell: 5.5346 12.5924 12.8211 Å, 90.00 90.00 90.00°
Space group Fmmm (No. 69)
Asymmetric unit:
Pm 0.0000 0.0000 0.0000 (multiplicity 4)
Mg 0.2500 0.0000 0.2500 (multiplicity 8)
Zn 0.0000 0.1109 0.3950 (multiplicity 16)
Zn 0.0000 0.1812 0.1740 (multiplicity 16)
Zn 0.2500 0.2500 0.0000 (multiplicity 8)

Question: What is the E_tot in the seventh record?
Answer: -2.505 eV per atom

Question: What is the E_form in the first record?
Answer: -2.2 eV/f.u.